FeNiIN2 | the Alexandria database | GGA-PBE | optimized geometry; formation energy from raw total energies = 0.975 eV per atom; total magnetic moment = 0.000 μB/atom; calculated total energy = -0.2026 Ha/atom; energy above the lowest structure with this stoichiometry = 0.0000 eV per atom
1.0
3.557 0.000 0.000
0.000 3.557 0.000
0.000 0.000 6.318
Fe Ni I N
1 1 1 2
direct
0.000 0.000 0.000 Fe
0.500 0.500 0.500 Ni
0.000 0.000 0.500 I
0.000 0.500 0.000 N
0.500 0.000 0.000 N